DFT (PBE) results for a relaxed InIrS2Cl crystal.

E in eV per atom: -3.25
Space group: No. 123
ΔE_f (raw) in eV/f.u.: 5.48
Magnetic moment in μB/cell: 2.7

Cell lengths 5.0656, 5.0656, 4.8708 Å; angles 90.00, 90.00, 90.00 degrees
Site moments in Bohr magnetons follow the coordinates.
Fractional positions:
Cl: 0.0000 0.0000 0.5000  0.03
S: 0.0000 0.5000 0.0000  0.10
S: 0.5000 0.0000 0.0000  0.10
Ir: 0.5000 0.5000 0.5000  2.21
In: 0.0000 0.0000 0.0000  0.00